# NiH2Se2 (PBE-GGA, relaxed)
# * mass density: 4.86 Mg/m³
# * DOS at the Fermi energy: 0.8 states/eV/f.u.
# * energy: -3.899 eV per atom
data_NiH2Se2
_space_group_name_H-M_alt 'P -1'
_space_group_IT_number 2
_cell_length_a 5.0347
_cell_length_b 5.6445
_cell_length_c 5.8231
_cell_angle_alpha 67.13
_cell_angle_beta 79.97
_cell_angle_gamma 80.95
loop_
_space_group_symop_operation_xyz
'x,y,z'
'-x,-y,-z'
loop_
_atom_site_label
_atom_site_type_symbol
_atom_site_fract_x
_atom_site_fract_y
_atom_site_fract_z
Ni1 Ni 0.0029 0.1389 0.1413
H1 H 0.1522 0.8961 0.0669
H2 H 0.2173 0.4562 0.6067
Se1 Se 0.2627 0.1052 0.4791
Se2 Se 0.2655 0.4723 0.8496


# LiCa2Al4Ga3 (PBE-GGA, relaxed)
# * mass density: 3.31 Mg/m³
# * ΔH_f (0 K): -3.1 eV/f.u.
# * DOS at the Fermi energy: 2.5 states/eV/f.u.
data_LiCa2Al4Ga3
_space_group_name_H-M_alt 'P -4 m 2'
_space_group_IT_number 115
_cell_length_a 4.2445
_cell_length_b 4.2445
_cell_length_c 11.2607
_cell_angle_alpha 90.00
_cell_angle_beta 90.00
_cell_angle_gamma 90.00
loop_
_space_group_symop_operation_xyz
'x,y,z'
'y,-x,-z'
'-x,-y,z'
'-y,x,-z'
'-x,y,z'
'-y,-x,-z'
'x,-y,z'
'y,x,-z'
loop_
_atom_site_label
_atom_site_type_symbol
_atom_site_fract_x
_atom_site_fract_y
_atom_site_fract_z
Li1 Li 0.0000 0.0000 0.0000
Ca1 Ca 0.0000 0.5000 0.7469
Al1 Al 0.0000 0.0000 0.5000
Al2 Al 0.0000 0.5000 0.1354
Al3 Al 0.5000 0.5000 0.5000
Ga1 Ga 0.0000 0.5000 0.3599
Ga2 Ga 0.5000 0.5000 0.0000


# Ta2TlCd (PBE-GGA, relaxed)
# * mass density: 13.51 Mg/m³
# * ΔH_f (0 K): 1.5 eV/f.u.
# * DOS at the Fermi energy: 2.2 states/eV/f.u.
data_Ta2TlCd
_space_group_name_H-M_alt 'P 4 m m'
_space_group_IT_number 99
_cell_length_a 3.5840
_cell_length_b 3.5840
_cell_length_c 6.4921
_cell_angle_alpha 90.00
_cell_angle_beta 90.00
_cell_angle_gamma 90.00
loop_
_space_group_symop_operation_xyz
'x,y,z'
'-y,x,z'
'-x,-y,z'
'y,-x,z'
'-x,y,z'
'y,x,z'
'x,-y,z'
'-y,-x,z'
loop_
_atom_site_label
_atom_site_type_symbol
_atom_site_fract_x
_atom_site_fract_y
_atom_site_fract_z
Ta1 Ta 0.0000 0.0000 0.0000
Ta2 Ta 0.5000 0.5000 0.1770
Tl1 Tl 0.0000 0.0000 0.4674
Cd1 Cd 0.5000 0.5000 0.7265


# TeIrAuN2 (PBE-GGA, relaxed)
# * mass density: 7.29 Mg/m³
# * raw formation energy: 1960.2 meV/atom
# * DOS at the Fermi energy: 2.9 states/eV/f.u.
# * energy above the lowest structure with this stoichiometry: 1.1812 eV/atom
data_TeIrAuN2
_space_group_name_H-M_alt 'P 4/m m m'
_space_group_IT_number 123
_space_group_name_Hall '-P 4 2'
_cell_length_a 3.8673
_cell_length_b 3.8673
_cell_length_c 8.2986
_cell_angle_alpha 90.00
_cell_angle_beta 90.00
_cell_angle_gamma 90.00
loop_
_atom_site_label
_atom_site_type_symbol
_atom_site_fract_x
_atom_site_fract_y
_atom_site_fract_z
Te1 Te 0.0000 0.0000 0.0000
Ir1 Ir 0.5000 0.5000 0.0000
Au1 Au 0.0000 0.0000 0.5000
N1 N 0.0000 0.5000 0.5000


# BaAgBi2Se4 (PBE-GGA, relaxed)
# * mass density: 6.91 Mg/m³
# * raw formation energy: -681.2 meV/atom
# * DOS at the Fermi energy: 0.9 states/eV/f.u.
data_BaAgBi2Se4
_space_group_name_H-M_alt 'C m c m'
_space_group_IT_number 63
_space_group_name_Hall '-C 2c 2'
_cell_length_a 4.6438
_cell_length_b 13.8167
_cell_length_c 14.6763
_cell_angle_alpha 90.00
_cell_angle_beta 90.00
_cell_angle_gamma 90.00
loop_
_atom_site_label
_atom_site_type_symbol
_atom_site_fract_x
_atom_site_fract_y
_atom_site_fract_z
Ba1 Ba 0.0000 0.1315 0.2500
Ag1 Ag 0.0000 0.1313 0.7500
Bi1 Bi 0.0000 0.3752 0.0530
Se1 Se 0.0000 0.0000 0.0000
Se2 Se 0.0000 0.2657 0.6116
Se3 Se 0.0000 0.4591 0.2500


# AlPdO2 (PBE-GGA, relaxed)
# * mass density: 5.38 Mg/m³
# * raw formation energy: -1651.7 meV/atom
# * DOS at the Fermi energy: 1.7 states/eV/f.u.
data_AlPdO2
_space_group_name_H-M_alt 'P n a 21'
_space_group_IT_number 33
_cell_length_a 5.2933
_cell_length_b 6.8184
_cell_length_c 5.6565
_cell_angle_alpha 90.00
_cell_angle_beta 90.00
_cell_angle_gamma 90.00
loop_
_space_group_symop_operation_xyz
'x,y,z'
'-x,-y,z+1/2'
'-x+1/2,y+1/2,z+1/2'
'x+1/2,-y+1/2,z'
loop_
_atom_site_label
_atom_site_type_symbol
_atom_site_fract_x
_atom_site_fract_y
_atom_site_fract_z
Al1 Al 0.0843 0.1223 0.0000
Pd1 Pd 0.0414 0.7167 0.9289
O1 O 0.0167 0.0722 0.6969
O2 O 0.0863 0.6538 0.5572


# Ac4La2Nd (PBE-GGA, relaxed)
# * mass density: 7.05 Mg/m³
# * ΔH_f (0 K): 2.2 eV/f.u.
# * DOS at the Fermi energy: 11.4 states/eV/f.u.
# * energy above the lowest structure with this stoichiometry: 0.0871 eV/atom
data_Ac4La2Nd
_space_group_name_H-M_alt 'C m m m'
_space_group_IT_number 65
_space_group_name_Hall '-C 2 2'
_cell_length_a 3.7568
_cell_length_b 26.4230
_cell_length_c 6.3138
_cell_angle_alpha 90.00
_cell_angle_beta 90.00
_cell_angle_gamma 90.00
loop_
_atom_site_label
_atom_site_type_symbol
_atom_site_fract_x
_atom_site_fract_y
_atom_site_fract_z
Ac1 Ac 0.0000 0.0734 0.0000
Ac2 Ac 0.0000 0.3715 0.5000
La1 La 0.0000 0.3012 0.0000
Nd1 Nd 0.0000 0.0000 0.5000


# Nd2Cu9Au (PBE-GGA, relaxed)
# * mass density: 9.23 Mg/m³
# * ΔH_f (0 K): -0.6 eV/f.u.
# * DOS at the Fermi energy: 5.3 states/eV/f.u.
data_Nd2Cu9Au
_space_group_name_H-M_alt 'R -3 m'
_space_group_IT_number 166
_space_group_name_Hall '-R 3 2"'
_cell_length_a 5.1563
_cell_length_b 5.1563
_cell_length_c 24.7731
_cell_angle_alpha 90.00
_cell_angle_beta 90.00
_cell_angle_gamma 120.00
loop_
_atom_site_label
_atom_site_type_symbol
_atom_site_fract_x
_atom_site_fract_y
_atom_site_fract_z
Nd1 Nd 0.0000 0.0000 0.1325
Cu1 Cu 0.0000 0.0000 0.3329
Cu2 Cu 0.0000 0.0000 0.5000
Cu3 Cu 0.0011 0.5006 0.9204
Au1 Au 0.0000 0.0000 0.0000